Cs2MgGeI6: relaxed, GGA-PBE.

Computed properties:
- density of states at the Fermi level (states/eV per cell) = 0.000
- spin magnetization (μB per formula unit) = 0.000
- raw total energy (eV per atom) = -2.72

a = 8.4407 Å, b = 8.4407 Å, c = 8.4396 Å
α = 60.00°, β = 60.00°, γ = 90.00°
Atoms (fractional coordinates):
I: 0.2527 0.2527 0.4947
I: 0.7475 0.2525 0.0000
I: 0.2525 0.2525 0.0000
I: 0.7473 0.7473 0.5053
I: 0.7475 0.7475 0.0000
I: 0.2525 0.7475 0.0000
Mg: 0.5000 0.5000 0.0000
Cs: 0.2500 0.7500 0.5000
Cs: 0.7500 0.2500 0.5000
Ge: 0.0000 0.0000 0.0000


PaTiClO4: relaxed, GGA-PBE.

Computed properties:
- density of states at the Fermi level (states/eV per cell) = 0.000
- spin magnetization (μB per formula unit) = 0.000
- raw total energy (eV per atom) = -8.62

a = 6.2689 Å, b = 6.2689 Å, c = 6.9056 Å
α = 75.25°, β = 75.25°, γ = 68.31°
Atoms (fractional coordinates):
Pa: 0.2403 0.2403 0.8680
Pa: 0.7597 0.7597 0.1320
O: 0.8985 0.5111 0.8497
O: 0.7105 0.7105 0.4531
O: 0.4533 0.4533 0.7990
O: 0.5111 0.8985 0.8497
O: 0.4889 0.1015 0.1503
O: 0.2895 0.2895 0.5469
O: 0.5467 0.5467 0.2010
O: 0.1015 0.4889 0.1503
Cl: 0.0103 0.0103 0.2258
Cl: 0.9897 0.9897 0.7742
Ti: 0.6374 0.6374 0.7268
Ti: 0.3626 0.3626 0.2732


RbTe3Mo3: relaxed, GGA-PBE.

Computed properties:
- density of states at the Fermi level (states/eV per cell) = 3.175
- spin magnetization (μB per formula unit) = 0.000
- raw total energy (eV per atom) = -6.62

a = 10.0860 Å, b = 10.0860 Å, c = 4.6286 Å
α = 90.00°, β = 90.00°, γ = 120.00°
Atoms (fractional coordinates):
Te: 0.0528 0.7051 0.7500
Te: 0.7051 0.6522 0.2500
Te: 0.3478 0.0528 0.2500
Te: 0.9472 0.2949 0.2500
Te: 0.6522 0.9472 0.7500
Te: 0.2949 0.3478 0.7500
Rb: 0.3333 0.6667 0.2500
Rb: 0.6667 0.3333 0.7500
Mo: 0.1634 0.0251 0.7500
Mo: 0.8366 0.9749 0.2500
Mo: 0.0251 0.8617 0.2500
Mo: 0.8617 0.8366 0.7500
Mo: 0.1383 0.1634 0.2500
Mo: 0.9749 0.1383 0.7500


PuUVIr: relaxed, GGA-PBE.

Computed properties:
- density of states at the Fermi level (states/eV per cell) = 8.672
- spin magnetization (μB per formula unit) = 2.471
- raw total energy (eV per atom) = -11.06

a = 4.6135 Å, b = 4.6135 Å, c = 4.6135 Å
α = 60.00°, β = 60.00°, γ = 60.00°
Site moments in Bohr magnetons follow the coordinates.
Atoms (fractional coordinates):
V: 0.5000 0.5000 0.5000  -1.28
Pu: 0.0000 0.0000 0.0000  4.01
Ir: 0.7500 0.7500 0.7500  -0.12
U: 0.2500 0.2500 0.2500  0.01


BeC2N: relaxed, GGA-PBE.

Computed properties:
- density of states at the Fermi level (states/eV per cell) = 1.420
- spin magnetization (μB per formula unit) = 0.000
- raw total energy (eV per atom) = -7.49

a = 2.4885 Å, b = 4.1599 Å, c = 5.4505 Å
α = 67.35°, β = 75.52°, γ = 105.72°
Atoms (fractional coordinates):
Be: 0.6776 0.1712 0.8383
C: 0.6600 0.6533 0.3558
C: 0.3185 0.8114 0.1970
N: 0.3844 0.3787 0.6320


NpTlCd: relaxed, GGA-PBE.

Computed properties:
- density of states at the Fermi level (states/eV per cell) = 5.919
- spin magnetization (μB per formula unit) = 1.859
- raw total energy (eV per atom) = -5.05

a = 3.5376 Å, b = 3.5376 Å, c = 12.1739 Å
α = 90.00°, β = 90.00°, γ = 90.00°
Site moments in Bohr magnetons follow the coordinates.
Atoms (fractional coordinates):
Np: 0.0000 0.0000 0.0000  1.92
Np: 0.5000 0.5000 0.0000  1.92
Tl: 0.0000 0.5000 0.2454  0.00
Tl: 0.5000 0.0000 0.7546  0.00
Cd: 0.5000 0.0000 0.4221  0.00
Cd: 0.0000 0.5000 0.5779  0.00


Y2ZnSi: relaxed, GGA-PBE.

Computed properties:
- density of states at the Fermi level (states/eV per cell) = 3.616
- spin magnetization (μB per formula unit) = 0.000
- raw total energy (eV per atom) = -5.05

a = 7.6771 Å, b = 7.6771 Å, c = 6.4283 Å
α = 53.34°, β = 53.34°, γ = 90.00°
Atoms (fractional coordinates):
Y: 0.3750 0.3827 0.7500
Y: 0.1327 0.6250 0.2500
Y: 0.6173 0.1250 0.2500
Y: 0.8750 0.8673 0.7500
Si: 0.5000 0.5000 0.0000
Si: 0.2500 0.7500 0.5000
Zn: 0.0000 0.0000 0.0000
Zn: 0.7500 0.2500 0.5000


KNiTe2: relaxed, GGA-PBE.

Computed properties:
- density of states at the Fermi level (states/eV per cell) = 4.911
- spin magnetization (μB per formula unit) = 0.424
- raw total energy (eV per atom) = -2.87

a = 5.3222 Å, b = 5.3222 Å, c = 5.3222 Å
α = 60.00°, β = 60.00°, γ = 60.00°
Site moments in Bohr magnetons follow the coordinates.
Atoms (fractional coordinates):
Te: 0.0000 0.0000 0.0000  0.02
Te: 0.2500 0.2500 0.2500  0.03
Ni: 0.7500 0.7500 0.7500  0.32
K: 0.5000 0.5000 0.5000  0.00


ScGe3Pd: relaxed, GGA-PBE.

Computed properties:
- density of states at the Fermi level (states/eV per cell) = 4.541
- spin magnetization (μB per formula unit) = 0.000
- raw total energy (eV per atom) = -4.35

a = 5.0321 Å, b = 5.0321 Å, c = 5.0321 Å
α = 90.00°, β = 90.00°, γ = 90.00°
Atoms (fractional coordinates):
Ge: 0.0000 0.5000 0.0000
Ge: 0.0000 0.0000 0.5000
Ge: 0.5000 0.0000 0.0000
Pd: 0.5000 0.5000 0.5000
Sc: 0.0000 0.0000 0.0000


Na2InAuO4: relaxed, GGA-PBE.

Computed properties:
- spin magnetization (μB per formula unit) = 0.000
- raw total energy (eV per atom) = -4.68

a = 3.1391 Å, b = 6.5565 Å, c = 6.2622 Å
α = 120.07°, β = 90.00°, γ = 90.00°
Atoms (fractional coordinates):
O: 0.5000 0.7695 0.8383
O: 0.0000 0.3104 0.7368
O: 0.5000 0.2305 0.1617
O: 0.0000 0.6896 0.2632
Au: 0.0000 0.0000 0.0000
Na: 0.0000 0.5000 0.5000
Na: 0.5000 0.0000 0.5000
In: 0.5000 0.5000 0.0000


CaTcHg: relaxed, GGA-PBE.

Computed properties:
- density of states at the Fermi level (states/eV per cell) = 3.342
- spin magnetization (μB per formula unit) = 1.012
- raw total energy (eV per atom) = -3.63

a = 3.1720 Å, b = 3.1720 Å, c = 7.3554 Å
α = 90.00°, β = 90.00°, γ = 120.00°
Site moments in Bohr magnetons follow the coordinates.
Atoms (fractional coordinates):
Ca: 0.0000 0.0000 0.9858  -0.01
Hg: 0.6667 0.3333 0.3495  0.02
Tc: 0.3333 0.6667 0.6647  0.92


LuCdAgPd: relaxed, GGA-PBE.

Computed properties:
- density of states at the Fermi level (states/eV per cell) = 2.358
- spin magnetization (μB per formula unit) = 0.000
- raw total energy (eV per atom) = -3.87

a = 4.8099 Å, b = 4.8099 Å, c = 4.8099 Å
α = 60.00°, β = 60.00°, γ = 60.00°
Atoms (fractional coordinates):
Cd: 0.7500 0.7500 0.7500
Ag: 0.0000 0.0000 0.0000
Pd: 0.5000 0.5000 0.5000
Lu: 0.2500 0.2500 0.2500


Among the records above, which one has the highest spin magnetization? PuUVIr